Arrangement a

DFT (GGA-PBEsol) results for Cd2FeAu after structural relaxation.

Summary:
D(E_F)	4.91	states/eV/f.u.

The structure in POSCAR format:
```
Cd2FeAu
1.0
4.2296 0.0000 0.0000
0.0000 4.2296 0.0000
-2.1148 -2.1148 3.7687
Au Cd Fe
1 2 1
Direct
0.0000 0.0000 0.0000
0.7500 0.2500 0.5000
0.2500 0.7500 0.5000
0.5000 0.5000 0.0000
```

Arrangement b

DFT (GGA-PBEsol) results for Cd2FeAu after structural relaxation.

Summary:
D(E_F)	2.59	states/eV/f.u.

The structure in POSCAR format:
```
Cd2FeAu
1.0
-1.9779 -1.7261 1.1634
1.5211 -2.2941 -0.8176
4.0091 0.1499 7.0379
Au Cd Fe
1 2 1
Direct
0.5000 0.5000 0.5000
0.0000 0.0000 0.7656
0.0000 0.0000 0.2344
0.5000 0.5000 0.0000
```

Which one is most stable, and which one is least stable? arrangement b is the most stable of them, while arrangement a is the least stable.

Arrangement a

DFT (GGA-PBEsol) results for Cd2HgAu2 after structural relaxation.

Summary:
D(E_F)	1.00	states/eV/f.u.

The structure in POSCAR format:
```
Cd2HgAu2
1.0
-2.0096 -0.4029 2.7511
3.3879 -6.5929 1.5091
5.1097 3.6008 4.2598
Au Hg Cd
4 2 4
Direct
0.0000 0.3625 0.8625
0.0000 0.8625 0.6375
0.0000 0.6375 0.1375
0.0000 0.1375 0.3625
0.0000 0.0000 0.0000
0.0000 0.5000 0.5000
0.5000 0.1606 0.6606
0.5000 0.6606 0.8394
0.5000 0.8394 0.3394
0.5000 0.3394 0.1606
```

Arrangement b

DFT (GGA-PBEsol) results for Cd2HgAu2 after structural relaxation.

Summary:
D(E_F)	1.58	states/eV/f.u.

The structure in POSCAR format:
```
Cd2HgAu2
1.0
-0.6815 -3.7836 0.1698
0.8159 0.0218 3.7606
-6.8618 3.1706 -0.4985
Au Hg Cd
2 1 2
Direct
0.2500 0.7500 0.5000
0.7500 0.2500 0.5000
0.0000 0.0000 0.0000
0.3993 0.3993 0.7986
0.6007 0.6007 0.2014
```

Which one is most stable, and which one is least stable? arrangement a is the most stable of them, while arrangement b is the least stable.

Arrangement a

DFT (GGA-PBEsol) results for KCd3Au after structural relaxation.

Summary:
D(E_F)	1.97	states/eV/f.u.

The structure in POSCAR format:
```
KCd3Au
1.0
-0.5060 1.1739 -5.1080
-5.0549 -1.4648 0.1641
-1.3844 4.9195 1.2677
K Au Cd
1 1 3
Direct
0.5000 0.5000 0.5000
0.0000 0.0000 0.0000
0.0000 0.5000 0.0000
0.0000 0.0000 0.5000
0.5000 0.0000 0.0000
```

Arrangement b

DFT (GGA-PBEsol) results for KCd3Au after structural relaxation.

Summary:
D(E_F)	0.72	states/eV/f.u.

The structure in POSCAR format:
```
KCd3Au
1.0
6.1000 0.0000 0.0000
0.0000 6.1000 0.0000
0.0000 0.0000 6.1000
K Au Cd
1 1 3
Direct
0.0000 0.0000 0.0000
0.5000 0.5000 0.5000
0.0000 0.5000 0.0000
0.0000 0.0000 0.5000
0.5000 0.0000 0.0000
```

Which one is most stable, and which one is least stable? arrangement a is the most stable of them, while arrangement b is the least stable.

Arrangement a

DFT (GGA-PBEsol) results for Li2CdAu after structural relaxation.

Summary:
D(E_F)	1.24	states/eV/f.u.

The structure in POSCAR format:
```
Li2CdAu
1.0
4.0373 -0.0003 0.0018
-0.0003 4.0376 0.0018
-2.0167 -2.0169 3.9692
Li Au Cd
2 1 1
Direct
0.0001 0.5000 0.0000
0.7502 0.7500 0.5002
0.5003 0.9996 0.9998
0.2495 0.2505 0.4999
```

Arrangement b

DFT (GGA-PBEsol) results for Li2CdAu after structural relaxation.

Summary:
D(E_F)	1.15	states/eV/f.u.

The structure in POSCAR format:
```
Li2CdAu
1.0
-0.3587 2.2060 2.8289
-4.1106 0.3108 -0.7636
-0.7111 -3.3013 2.4843
Cd Au Li
1 1 2
Direct
0.0000 0.0000 0.0000
0.0000 0.5000 0.5000
0.5000 0.5000 0.0000
0.5000 0.0000 0.5000
```

Arrangement c

DFT (GGA-PBEsol) results for Li2CdAu after structural relaxation.

Summary:
D(E_F)	1.25	states/eV/f.u.

The structure in POSCAR format:
```
Li2CdAu
1.0
-3.0773 -3.0952 -0.4444
2.4218 1.2100 -3.5419
1.8803 -2.3298 3.2069
Cd Au Li
1 1 2
Direct
0.5000 0.0000 0.5000
0.0000 0.0000 0.0000
0.2500 0.5000 0.7500
0.7500 0.5000 0.2500
```

Which one is most stable, and which one is least stable? arrangement a is the most stable of them, while arrangement b is the least stable.

Arrangement a

DFT (GGA-PBEsol) results for Li2CdAu after structural relaxation.

Summary:
D(E_F)	1.01	states/eV/f.u.

The structure in POSCAR format:
```
Li2CdAu
1.0
-1.6729 -2.8037 -0.5105
-0.4170 -0.3447 3.2599
-5.2117 3.1700 -0.3315
Cd Au Li
1 1 2
Direct
0.5000 0.5000 0.7505
0.0000 0.0000 0.4707
0.0000 0.0000 0.0097
0.5000 0.5000 0.2691
```

Arrangement b

DFT (GGA-PBEsol) results for Li2CdAu after structural relaxation.

Summary:
D(E_F)	1.15	states/eV/f.u.

The structure in POSCAR format:
```
Li2CdAu
1.0
-0.5542 -2.6106 1.0342
3.9538 -0.9379 -0.2487
0.7898 1.9270 5.2875
Cd Au Li
1 1 2
Direct
0.5000 0.5000 0.7549
0.0000 0.0000 0.4754
0.0000 0.0000 0.0008
0.5000 0.5000 0.2688
```

Which one is most stable, and which one is least stable? arrangement b is the most stable of them, while arrangement a is the least stable.

Arrangement a

DFT (GGA-PBEsol) results for Li2CdAu after structural relaxation.

Summary:
D(E_F)	1.43	states/eV/f.u.

The structure in POSCAR format:
```
Li2CdAu
1.0
-3.8496 -1.8435 -1.5488
-0.7981 -4.4293 0.6003
-3.2034 -1.3545 2.9188
Cd Au Li
1 1 2
Direct
0.2500 0.2500 0.2500
0.5000 0.5000 0.5000
0.0000 0.0000 0.0000
0.7500 0.7500 0.7500
```

Arrangement b

DFT (GGA-PBEsol) results for Li2CdAu after structural relaxation.

Summary:
D(E_F)	1.11	states/eV/f.u.

The structure in POSCAR format:
```
Li2CdAu
1.0
-1.9824 -1.5502 2.0926
-0.2432 -2.5099 -2.0898
4.6655 -2.5557 2.5266
Cd Au Li
1 1 2
Direct
0.5000 0.5000 0.5000
0.5000 0.5000 0.0000
0.0000 0.0000 0.7736
0.0000 0.0000 0.2264
```

Which one is most stable, and which one is least stable? arrangement a is the most stable of them, while arrangement b is the least stable.